Record 1
Entry from Alexandria: a relaxed Ac4CoSn3 crystal (PBE).

Geometry as POSCAR:
```
Ac4CoSn3
1.0
4.829 0.000 0.000
0.000 4.597 0.000
0.000 0.000 11.981
Sn Co Ac
3 1 4
Direct
0.000 0.500 0.584
0.000 0.000 0.418
0.500 0.000 0.939
0.500 0.500 0.063
0.000 0.500 0.879
0.500 0.500 0.336
0.500 0.000 0.645
0.000 0.000 0.136
```

Calculated values
The space group is Pmm2 (25). The size of the total moment comes out at 0.7 μB/cell.

Record 2
Entry from Alexandria: a relaxed Ac7Co2Sn3 crystal (PBE).

Geometry as POSCAR:
```
Ac7Co2Sn3
1.0
-5.199 -0.832 -0.324
0.797 -3.283 -4.346
0.828 -9.338 10.691
Co Ac Sn
2 7 3
Direct
0.000 0.899 0.799
0.000 0.101 0.201
0.000 0.602 0.205
0.000 0.000 0.000
0.000 0.207 0.413
0.000 0.793 0.587
0.500 0.902 0.803
0.500 0.098 0.197
0.000 0.398 0.795
0.500 0.500 0.000
0.500 0.310 0.620
0.500 0.690 0.380
```

Calculated values
The space group is Cmmm (65). The size of the total moment comes out at 0.0 μB/cell.

Record 3
Entry from Alexandria: a relaxed Ac8CoSn3 crystal (PBE).

Geometry as POSCAR:
```
Ac8CoSn3
1.0
7.798 0.000 0.000
0.000 7.798 0.000
-3.899 -3.899 7.806
Ac Co Sn
8 1 3
Direct
0.646 0.646 0.765
0.118 0.118 0.765
0.882 0.882 0.235
0.354 0.354 0.235
0.354 0.882 0.235
0.882 0.354 0.235
0.118 0.646 0.765
0.646 0.118 0.765
0.000 0.000 0.000
0.250 0.750 0.500
0.750 0.250 0.500
0.500 0.500 0.000
```

Calculated values
The space group is I4/mmm (139). The size of the total moment comes out at 0.0 μB/cell.

Record 4
Entry from Alexandria: a relaxed Ac2CoSn crystal (PBE).

Geometry as POSCAR:
```
Ac2CoSn
1.0
4.873 0.000 0.000
2.437 7.992 0.000
2.437 0.000 7.992
Sn Ac Co
2 4 2
Direct
0.250 0.500 0.500
0.500 0.000 0.000
0.375 0.750 0.750
0.875 0.750 0.250
0.875 0.250 0.750
0.875 0.250 0.250
0.750 0.500 0.500
0.000 0.000 0.000
```

Calculated values
The space group is I4_1/amd (141). The size of the total moment comes out at 0.0 μB/cell.

Record 5
Entry from Alexandria: a relaxed Ac2CoSn3 crystal (PBE).

Geometry as POSCAR:
```
Ac2CoSn3
1.0
6.271 0.738 -1.914
-1.344 6.169 -1.914
-0.536 -0.752 9.269
Ac Sn Co
4 6 2
Direct
0.250 0.750 0.500
0.750 0.250 0.500
0.752 0.752 0.000
0.248 0.248 0.000
0.822 0.822 0.643
0.178 0.178 0.357
0.643 0.179 0.822
0.821 0.357 0.178
0.179 0.643 0.822
0.357 0.821 0.178
0.334 0.334 0.667
0.666 0.666 0.333
```

Calculated values
The excess energy over the best structure of this formula in the dataset is 0 meV/atom. The space group is Fmmm (69). The size of the total moment comes out at 0.1 μB/cell.

Record 6
Entry from Alexandria: a relaxed Ac3CoSn2 crystal (PBE).

Geometry as POSCAR:
```
Ac3CoSn2
1.0
-1.523 -2.603 2.532
5.188 -2.075 0.987
-0.727 8.369 5.104
Co Sn Ac
1 2 3
Direct
0.000 0.000 0.000
0.340 0.340 0.680
0.660 0.660 0.320
0.000 0.500 0.000
0.155 0.155 0.309
0.845 0.845 0.691
```

Calculated values
The space group is Immm (71). The size of the total moment comes out at 0.5 μB/cell.

Record 7
Entry from Alexandria: a relaxed Ac3Co2Sn4 crystal (PBE).

Geometry as POSCAR:
```
Ac3Co2Sn4
1.0
4.653 0.000 0.000
-2.327 6.057 0.135
0.000 -2.249 8.659
Sn Ac Co
4 3 2
Direct
0.711 0.423 0.093
0.888 0.776 0.606
0.289 0.577 0.907
0.112 0.224 0.394
0.615 0.231 0.688
0.385 0.769 0.312
0.000 0.000 0.000
0.296 0.591 0.612
0.704 0.409 0.388
```

Calculated values
The excess energy over the best structure of this formula in the dataset is 0 meV/atom. The space group is C2/m (12). The size of the total moment comes out at 0.7 μB/cell.

Record 8
Entry from Alexandria: a relaxed Ac7Co2Sn2 crystal (PBE).

Geometry as POSCAR:
```
Ac7Co2Sn2
1.0
-3.103 -1.030 6.739
0.262 -7.376 -1.005
6.446 -2.724 2.552
Ac Sn Co
7 2 2
Direct
0.247 0.000 0.500
0.000 0.000 0.000
0.753 0.000 0.500
0.235 0.500 0.500
0.765 0.500 0.500
0.753 0.500 0.000
0.247 0.500 0.000
0.500 0.831 0.169
0.500 0.169 0.831
0.000 0.707 0.707
0.000 0.293 0.293
```

Calculated values
The space group is Cmmm (65). The size of the total moment comes out at 0.0 μB/cell.

Record 9
Entry from Alexandria: a relaxed Ac2CoSn3 crystal (PBE).

Geometry as POSCAR:
```
Ac2CoSn3
1.0
-1.948 3.492 2.395
-2.656 1.086 -3.744
-5.720 -4.983 2.612
Sn Ac Co
3 2 1
Direct
0.500 0.500 0.625
0.500 0.000 0.838
0.500 0.000 0.199
0.000 0.000 0.500
0.000 0.500 0.029
0.500 0.500 0.308
```

Calculated values
The excess energy over the best structure of this formula in the dataset is 9 meV/atom. The space group is Pmm2 (25). The size of the total moment comes out at 0.3 μB/cell.

Record 10
Entry from Alexandria: a relaxed Ac2CoSn crystal (PBE).

Geometry as POSCAR:
```
Ac2CoSn
1.0
4.057 0.000 0.000
2.028 3.513 0.000
2.028 1.171 10.167
Ac Co Sn
2 1 1
Direct
0.887 0.887 0.340
0.113 0.113 0.660
0.500 0.500 0.500
0.000 0.000 0.000
```

Calculated values
The space group is R-3m (166). The size of the total moment comes out at 0.0 μB/cell.

Record 11
Entry from Alexandria: a relaxed Ac6CoSn crystal (PBE).

Geometry as POSCAR:
```
Ac6CoSn
1.0
7.037 0.145 0.000
1.772 8.124 0.000
0.886 4.062 5.554
Co Ac Sn
1 6 1
Direct
0.500 0.500 0.000
0.777 0.549 0.638
0.223 0.813 0.638
0.639 0.782 0.000
0.361 0.218 0.000
0.777 0.187 0.362
0.223 0.451 0.362
0.000 0.000 0.000
```

Calculated values
The space group is C2/m (12). The size of the total moment comes out at 0.0 μB/cell.

Record 12
Entry from Alexandria: a relaxed Ac2CoSn6 crystal (PBE).

Geometry as POSCAR:
```
Ac2CoSn6
1.0
-3.916 -2.576 3.492
4.371 0.558 5.314
-0.132 5.625 4.001
Sn Ac Co
6 2 1
Direct
0.710 0.666 0.167
0.710 0.167 0.666
0.290 0.833 0.334
0.290 0.834 0.834
0.290 0.334 0.833
0.710 0.166 0.166
0.798 0.667 0.667
0.202 0.333 0.333
0.000 0.000 0.000
```

Calculated values
The space group is P-3m1 (164). The size of the total moment comes out at 0.0 μB/cell.

The calculation returns the following VASP energy values, one per record and in order: -39.22; -59.02; -54.77; -39.07; -60.50; -28.27; -46.80; -52.95; -30.19; -18.88; -36.61; -43.14 eV for the cell shown.
The calculation returns the following energy relative to the elements values, one per record and in order: -0.4587; -0.3364; -0.2321; -0.0522; -0.4861; -0.1392; -0.4724; -0.1790; -0.4771; 0.1107; -0.1069; -0.4225 eV per atom.